Compound: MgMo4Pb
Source: the Alexandria database
Functional: PBEsol
Structure: optimized geometry

Cell and atoms, written as POSCAR:
```
MgMo4Pb
1.0
-2.321 4.751 0.566
-4.035 0.599 3.412
0.695 2.782 4.478
Pb Mo Mg
1 4 1
direct
0.750 0.750 0.750
0.374 0.877 0.374
0.877 0.374 0.374
0.374 0.374 0.374
0.374 0.374 0.877
0.000 0.000 0.000
```

For the total DFT energy (no corrections), the calculation gives -8.27 eV/atom. The total moment is 0.0 μB/f.u. The calculation puts the formation energy at 0.526 eV/atom. As for the space-group type: F-43m, No. 216.